Here is a geometry-optimized YRe2Se structure from the Alexandria database. Energies are from GGA-PBE.

The calculated total energy comes out at -32.0 eV for the cell shown. Its formation energy (no corrections) is 2.849 eV/f.u.

It has space group P4/mmm (No. 123), with a = 4.514 Å, b = 4.514 Å, c = 3.457 Å, α = 90.00°, β = 90.00° and γ = 90.00°. Symmetry generates all atoms from Y at (0.000, 0.000, 0.000), Re at (0.000, 0.500, 0.500) and Se at (0.500, 0.500, 0.000).


Here is a geometry-optimized YReSe2 structure from the Alexandria database. Energies are from GGA-PBE.

The calculated total energy comes out at -52.8 eV for the cell shown. Its formation energy (no corrections) is -0.511 eV/f.u. The energy above the most stable polymorph in this dataset is 420 meV per atom.

It has space group Cmmm (No. 65), with a = 4.199 Å, b = 5.278 Å, c = 6.871 Å, α = 90.00°, β = 90.00° and γ = 90.00°. Symmetry generates all atoms from Y at (0.000, 0.000, 0.000), Re at (0.000, 0.000, 0.500) and Se at (0.000, 0.500, 0.276).


Here is a geometry-optimized YRe2Se structure from the Alexandria database. Energies are from GGA-PBE.

The calculated total energy comes out at -65.2 eV for the cell shown. Its formation energy (no corrections) is 2.262 eV/f.u.

It has space group Cmmm (No. 65), with a = 5.245 Å, b = 9.061 Å, c = 3.122 Å, α = 90.00°, β = 90.00° and γ = 90.00°. Symmetry generates all atoms from Y at (0.000, 0.000, 0.000), Re at (0.250, 0.250, 0.500) and Se at (0.000, 0.500, 0.000).


Here is a geometry-optimized YRe2Se structure from the Alexandria database. Energies are from GGA-PBE.

The calculated total energy comes out at -105.2 eV for the cell shown. Its formation energy (no corrections) is -0.225 eV/f.u.

It has space group R3m (No. 160, hexagonal axes), with a = 4.2842 Å, b = 4.2842 Å, c = 15.3593 Å, α = 90.00°, β = 90.00° and γ = 120.00°. Symmetry generates all atoms from Y at (0.0000, 0.0000, 0.0000), Re at (0.0000, 0.0000, 0.2054), Re at (0.0000, 0.0000, 0.5172) and Se at (0.0000, 0.0000, 0.7775).